Here is AlCoTcO6 after structural relaxation from Alexandria via LeMat-Bulk. Energies are from PBE with a Hubbard U.

Lattice parameters (Å, degrees): 4.943 4.943 8.895 90.00 90.00 120.00
Positions (direct):
Al 0.333 0.667 0.250
Al 0.667 0.333 0.750
Co 0.000 0.000 0.000
Co 0.000 0.000 0.500
Tc 0.333 0.667 0.750
Tc 0.667 0.333 0.250
O 0.000 0.354 0.133
O 0.000 0.354 0.633
O 0.000 0.646 0.367
O 0.000 0.646 0.867
O 0.354 0.000 0.133
O 0.354 0.000 0.633
O 0.354 0.354 0.367
O 0.354 0.354 0.867
O 0.646 0.000 0.367
O 0.646 0.000 0.867
O 0.646 0.646 0.133
O 0.646 0.646 0.633

- Size of the total moment: 6.034 Bohr magnetons per cell
- Raw total energy: -7.0241 eV/atom
- Symmetry: P-31c, No. 163